No. 1
Re2PdCN | GGA-PBEsol | relaxed

Cell lengths 4.8697, 4.8697, 3.4877 Å; angles 90.00, 90.00, 90.00 degrees
Last column: nearest neighbours and their distance in Å.
Fractional positions:
Re (0.0000, 0.5000, 0.0000)  2 Pd 2.43
Re (0.5000, 0.0000, 0.0000)  2 Pd 2.43
Pd (0.0000, 0.0000, 0.0000)  2 N 1.74
C (0.5000, 0.5000, 0.5000)  8 Re 2.99
N (0.0000, 0.0000, 0.5000)  2 Pd 1.74

Calculated values
The uncorrected formation energy comes out at 3.493 eV/atom. As for the space group: P4/mmm, No. 123.


No. 2
BaHf2Rh2 | GGA-PBEsol | relaxed

Cell lengths 6.4206, 6.4206, 6.4206 Å; angles 136.90, 136.90, 62.60 degrees
Last column: nearest neighbours and their distance in Å.
Fractional positions:
Ba (0.0000, 0.0000, 0.0000)  8 Rh 3.62, 10 Hf 3.75-3.78
Hf (0.3447, 0.3447, 0.0000)  4 Rh 2.58
Hf (0.6553, 0.6553, 0.0000)  4 Rh 2.58
Rh (0.2500, 0.7500, 0.5000)  4 Hf 2.58
Rh (0.7500, 0.2500, 0.5000)  4 Hf 2.58

Calculated values
For the final energy, the calculation gives -8.053 eV/atom. As for the space group: I4/mmm, No. 139.


No. 3
VZn2P2O9 | GGA-PBEsol | relaxed

Cell lengths 7.7702, 7.7702, 7.7702 Å; angles 110.12, 110.12, 108.18 degrees
Last column: nearest neighbours and their distance in Å.
Fractional positions:
V (0.0000, 0.0000, 0.0000)  1 O 1.59
V (0.5000, 0.5000, 0.0000)  1 O 1.59
Zn (0.0433, 0.5433, 0.2624)  3 O 1.88-2.01
Zn (0.2809, 0.7809, 0.7376)  3 O 1.88-2.01
Zn (0.5433, 0.2809, 0.5000)  3 O 1.88-2.01
Zn (0.7809, 0.0433, 0.5000)  3 O 1.88-2.01
P (0.2099, 0.3231, 0.5000)  4 O 1.49-1.57
P (0.3231, 0.8231, 0.1132)  4 O 1.49-1.57
P (0.7099, 0.2099, 0.8868)  4 O 1.49-1.57
P (0.8231, 0.7099, 0.5000)  4 O 1.49-1.57
O (0.0136, 0.2153, 0.5000)  1 P 1.49
O (0.0298, 0.7392, 0.5000)  1 P 1.55
O (0.1844, 0.8772, 0.9617)  1 P 1.57
O (0.2153, 0.7153, 0.2016)  1 P 1.49
O (0.2228, 0.1844, 0.3072)  1 P 1.57
O (0.2392, 0.5298, 0.5000)  1 P 1.55
O (0.3256, 0.3256, 0.0000)  1 V 1.59
O (0.3772, 0.6844, 0.9617)  1 P 1.57
O (0.4155, 0.3772, 0.6928)  1 P 1.57
O (0.5136, 0.0136, 0.7984)  1 P 1.49
O (0.5298, 0.0298, 0.2907)  1 P 1.55
O (0.6844, 0.7228, 0.3072)  1 P 1.57
O (0.7153, 0.5136, 0.5000)  1 P 1.49
O (0.7228, 0.4155, 0.0383)  1 P 1.57
O (0.7392, 0.2392, 0.7093)  1 P 1.55
O (0.8256, 0.8256, 0.0000)  1 V 1.59
O (0.8772, 0.9155, 0.6928)  1 P 1.57
O (0.9155, 0.2228, 0.0383)  1 P 1.57

Calculated values
The uncorrected formation energy comes out at -2.052 eV/atom. As for the space group: I4cm, No. 108.


no.,density (Mg/m³)
1,10.14
2,9.52
3,3.57